Entry 1:
{
  "formula": "HfCr2WAu",
  "functional": "PBE-GGA",
  "state": "optimized geometry",
  "lattice_angstrom": [[4.538, 0.000, 0.000], [0.000, 4.538, 0.000], [0.000, 0.000, 5.007]],
  "species": ["Hf", "Cr", "Cr", "W", "Au"],
  "fractional_positions": [[0.000, 0.000, 0.000], [0.000, 0.500, 0.500], [0.500, 0.000, 0.500], [0.500, 0.500, 0.000], [0.000, 0.000, 0.500]],
  "n_ef_per_ev_atom": 2.162,
  "formation_enthalpy_0k_ev_per_atom": 2.07,
  "rho_g_cm3": 10.68,
  "total_magnetization_mub_per_atom": 0.00
}

Entry 2:
{
  "formula": "Ba3NbAs4",
  "functional": "PBE-GGA",
  "state": "optimized geometry",
  "lattice_angstrom": [[9.212, 0.000, 0.000], [0.000, 11.055, 0.000], [0.000, 0.000, 10.127]],
  "species": ["Ba", "Ba", "Ba", "Ba", "Ba", "Ba", "Ba", "Ba", "Ba", "Ba", "Ba", "Ba", "Nb", "Nb", "Nb", "Nb", "As", "As", "As", "As", "As", "As", "As", "As", "As", "As", "As", "As", "As", "As", "As", "As"],
  "fractional_positions": [[0.049, 0.047, 0.192], [0.049, 0.453, 0.192], [0.145, 0.750, 0.420], [0.355, 0.250, 0.920], [0.451, 0.547, 0.692], [0.451, 0.953, 0.692], [0.549, 0.047, 0.308], [0.549, 0.453, 0.308], [0.645, 0.750, 0.080], [0.855, 0.250, 0.580], [0.951, 0.547, 0.808], [0.951, 0.953, 0.808], [0.247, 0.750, 0.975], [0.253, 0.250, 0.475], [0.747, 0.750, 0.525], [0.753, 0.250, 0.025], [0.008, 0.750, 0.086], [0.139, 0.044, 0.517], [0.139, 0.456, 0.517], [0.199, 0.750, 0.738], [0.301, 0.250, 0.238], [0.361, 0.544, 0.017], [0.361, 0.956, 0.017], [0.492, 0.250, 0.586], [0.508, 0.750, 0.414], [0.639, 0.044, 0.983], [0.639, 0.456, 0.983], [0.699, 0.750, 0.762], [0.801, 0.250, 0.262], [0.861, 0.544, 0.483], [0.861, 0.956, 0.483], [0.992, 0.250, 0.914]],
  "n_ef_per_ev_atom": 0.017,
  "formation_enthalpy_0k_ev_per_atom": -0.94,
  "rho_g_cm3": 5.18,
  "total_magnetization_mub_per_atom": 0.00
}

Entry 3:
{
  "formula": "BaNa2MgH",
  "functional": "PBE-GGA",
  "state": "optimized geometry",
  "lattice_angstrom": [[5.301, 0.000, 0.000], [0.000, 5.301, 0.000], [0.000, 0.000, 5.688]],
  "species": ["Ba", "Na", "Na", "Mg", "H"],
  "fractional_positions": [[0.000, 0.000, 0.000], [0.000, 0.500, 0.500], [0.500, 0.000, 0.500], [0.500, 0.500, 0.000], [0.500, 0.500, 0.500]],
  "n_ef_per_ev_atom": 0.970,
  "rho_g_cm3": 2.17,
  "polymorph_energy_mev_per_atom": 249,
  "total_magnetization_mub_per_atom": 0.00
}

Entry 4:
{
  "formula": "NaCaNb2Ir",
  "functional": "PBE-GGA",
  "state": "optimized geometry",
  "lattice_angstrom": [[4.774, 0.000, 0.000], [0.000, 4.774, 0.000], [0.000, 0.000, 4.451]],
  "species": ["Na", "Ca", "Nb", "Nb", "Ir"],
  "fractional_positions": [[0.000, 0.000, 0.000], [0.000, 0.000, 0.500], [0.000, 0.500, 0.500], [0.500, 0.000, 0.500], [0.500, 0.500, 0.000]],
  "n_ef_per_ev_atom": 1.199,
  "formation_enthalpy_0k_ev_per_atom": 2.14,
  "rho_g_cm3": 7.22,
  "total_magnetization_mub_per_atom": 0.00
}

Entry 5:
{
  "formula": "Ce6PtRh",
  "functional": "PBE-GGA",
  "state": "optimized geometry",
  "lattice_angstrom": [[-2.527, 2.527, 7.584], [2.527, -2.527, 7.584], [2.527, 2.527, -7.584]],
  "species": ["Ce", "Ce", "Ce", "Ce", "Ce", "Ce", "Pt", "Rh"],
  "fractional_positions": [[0.108, 0.608, 0.500], [0.246, 0.246, 0.000], [0.392, 0.892, 0.500], [0.608, 0.108, 0.500], [0.754, 0.754, 0.000], [0.892, 0.392, 0.500], [0.500, 0.500, 0.000], [0.000, 0.000, 0.000]],
  "n_ef_per_ev_atom": 2.220,
  "formation_enthalpy_0k_ev_per_atom": -0.40,
  "rho_g_cm3": 9.76,
  "total_magnetization_mub_per_atom": 0.00
}

Entry 6:
{
  "formula": "NaIn2AsW",
  "functional": "PBE-GGA",
  "state": "optimized geometry",
  "lattice_angstrom": [[5.165, 0.000, 0.000], [0.000, 5.165, 0.000], [0.000, 0.000, 5.205]],
  "species": ["Na", "In", "In", "As", "W"],
  "fractional_positions": [[0.000, 0.000, 0.000], [0.000, 0.500, 0.000], [0.500, 0.000, 0.000], [0.500, 0.500, 0.500], [0.000, 0.000, 0.500]],
  "n_ef_per_ev_atom": 0.644,
  "formation_enthalpy_0k_ev_per_atom": 1.76,
  "rho_g_cm3": 6.11,
  "total_magnetization_mub_per_atom": 0.74
}

Entry 7:
{
  "formula": "Sm2Tl3InSe6",
  "functional": "PBE-GGA",
  "state": "optimized geometry",
  "lattice_angstrom": [[3.656, -6.322, 0.000], [3.656, 6.322, 0.000], [-2.454, 0.000, 7.773]],
  "species": ["Sm", "Sm", "Tl", "Tl", "Tl", "In", "Se", "Se", "Se", "Se", "Se", "Se"],
  "fractional_positions": [[0.166, 0.834, 0.000], [0.834, 0.166, 0.000], [0.000, 0.000, 0.500], [0.329, 0.671, 0.500], [0.671, 0.329, 0.500], [0.500, 0.500, 0.000], [0.111, 0.432, 0.796], [0.247, 0.247, 0.211], [0.432, 0.111, 0.796], [0.568, 0.889, 0.204], [0.753, 0.753, 0.789], [0.889, 0.568, 0.204]],
  "e_form_raw_ev_per_fu": -12.71,
  "n_ef_per_ev_atom": 0.002,
  "rho_g_cm3": 6.94,
  "total_magnetization_mub_per_atom": 0.00
}

Entry 8:
{
  "formula": "BaOsPt",
  "functional": "PBE-GGA",
  "state": "optimized geometry",
  "lattice_angstrom": [[5.883, -2.267, 0.000], [5.883, 2.267, 0.000], [-0.003, 0.000, 5.337]],
  "species": ["Ba", "Ba", "Os", "Os", "Pt", "Pt"],
  "fractional_positions": [[0.000, 0.000, 0.000], [0.554, 0.554, 0.492], [0.271, 0.271, 0.211], [0.748, 0.748, 0.002], [0.238, 0.238, 0.707], [0.821, 0.821, 0.494]],
  "n_ef_per_ev_atom": 0.705,
  "formation_enthalpy_0k_ev_per_atom": 0.01,
  "rho_g_cm3": 12.19,
  "polymorph_energy_mev_per_atom": 67,
  "total_magnetization_mub_per_atom": 0.00
}

Entry 9:
{
  "formula": "Sr2ZnTe",
  "functional": "PBE-GGA",
  "state": "optimized geometry",
  "lattice_angstrom": [[2.313, 1.336, 7.996], [-2.313, 1.336, 7.996], [0.000, -2.671, 7.996]],
  "species": ["Sr", "Sr", "Zn", "Te"],
  "fractional_positions": [[0.249, 0.249, 0.249], [0.751, 0.751, 0.751], [0.000, 0.000, 0.000], [0.500, 0.500, 0.500]],
  "e_form_raw_ev_per_fu": -3.12,
  "n_ef_per_ev_atom": 0.803,
  "rho_g_cm3": 4.13,
  "polymorph_energy_mev_per_atom": 34,
  "total_magnetization_mub_per_atom": 0.13
}

Entry 10:
{
  "formula": "BeMoPb2",
  "functional": "PBE-GGA",
  "state": "optimized geometry",
  "lattice_angstrom": [[3.456, 0.000, 0.000], [0.000, 4.444, 0.000], [0.000, 0.000, 5.408]],
  "species": ["Be", "Mo", "Pb", "Pb"],
  "fractional_positions": [[0.000, 0.000, 0.000], [0.500, 0.000, 0.500], [0.000, 0.500, 0.500], [0.500, 0.500, 0.000]],
  "n_ef_per_ev_atom": 0.902,
  "formation_enthalpy_0k_ev_per_atom": 0.96,
  "rho_g_cm3": 10.38,
  "total_magnetization_mub_per_atom": 0.00
}

Entry 11:
{
  "formula": "TiCoPd3",
  "functional": "PBE-GGA",
  "state": "optimized geometry",
  "lattice_angstrom": [[4.600, 0.000, 0.000], [0.000, 4.600, 0.000], [0.000, 0.000, 4.600]],
  "species": ["Ti", "Co", "Pd", "Pd", "Pd"],
  "fractional_positions": [[0.000, 0.000, 0.000], [0.500, 0.500, 0.500], [0.000, 0.000, 0.500], [0.000, 0.500, 0.000], [0.500, 0.000, 0.000]],
  "n_ef_per_ev_atom": 0.778,
  "formation_enthalpy_0k_ev_per_atom": 0.83,
  "rho_g_cm3": 7.27,
  "polymorph_energy_mev_per_atom": 112,
  "total_magnetization_mub_per_atom": 0.41
}

Entry 12:
{
  "formula": "TmPdAu",
  "functional": "PBE-GGA",
  "state": "optimized geometry",
  "lattice_angstrom": [[0.000, 4.571, 8.804], [3.395, 0.000, 8.804], [3.395, 4.571, 0.000]],
  "species": ["Tm", "Tm", "Tm", "Tm", "Pd", "Pd", "Pd", "Pd", "Au", "Au", "Au", "Au"],
  "fractional_positions": [[0.069, 0.681, 0.069], [0.319, 0.931, 0.319], [0.681, 0.069, 0.681], [0.931, 0.319, 0.931], [0.001, 0.001, 0.249], [0.249, 0.249, 0.001], [0.751, 0.751, 0.999], [0.999, 0.999, 0.751], [0.000, 0.500, 0.500], [0.500, 0.000, 0.500], [0.500, 0.500, 0.000], [0.500, 0.500, 0.500]],
  "n_ef_per_ev_atom": 0.486,
  "formation_enthalpy_0k_ev_per_atom": -0.50,
  "rho_g_cm3": 11.48,
  "polymorph_energy_mev_per_atom": 386,
  "total_magnetization_mub_per_atom": 0.00
}

Entry 13:
{
  "formula": "LaTb14Th",
  "functional": "PBE-GGA",
  "state": "optimized geometry",
  "lattice_angstrom": [[11.578, 0.000, 0.000], [0.000, 3.600, 6.199], [0.000, -3.600, 6.199]],
  "species": ["La", "Tb", "Tb", "Tb", "Tb", "Tb", "Tb", "Tb", "Tb", "Tb", "Tb", "Tb", "Tb", "Tb", "Tb", "Th"],
  "fractional_positions": [[0.000, 0.000, 0.000], [0.000, 0.000, 0.500], [0.000, 0.500, 0.000], [0.249, 0.665, 0.665], [0.252, 0.170, 0.665], [0.252, 0.665, 0.170], [0.254, 0.168, 0.168], [0.500, 0.334, 0.334], [0.500, 0.334, 0.834], [0.500, 0.833, 0.833], [0.500, 0.834, 0.334], [0.746, 0.168, 0.168], [0.748, 0.170, 0.665], [0.748, 0.665, 0.170], [0.751, 0.665, 0.665], [0.000, 0.498, 0.498]],
  "n_ef_per_ev_atom": 1.134,
  "formation_enthalpy_0k_ev_per_atom": 0.02,
  "rho_g_cm3": 8.34,
  "total_magnetization_mub_per_atom": 0.00
}

Entry 14:
{
  "formula": "Np3Ge5Pt6",
  "functional": "PBE-GGA",
  "state": "optimized geometry",
  "lattice_angstrom": [[4.074, 0.000, 0.000], [0.000, 12.180, 0.000], [0.000, 0.000, 10.749]],
  "species": ["Np", "Np", "Np", "Np", "Np", "Np", "Ge", "Ge", "Ge", "Ge", "Ge", "Ge", "Ge", "Ge", "Ge", "Ge", "Pt", "Pt", "Pt", "Pt", "Pt", "Pt", "Pt", "Pt", "Pt", "Pt", "Pt", "Pt"],
  "fractional_positions": [[0.250, 0.086, 0.243], [0.250, 0.414, 0.243], [0.250, 0.750, 0.238], [0.750, 0.250, 0.762], [0.750, 0.586, 0.757], [0.750, 0.914, 0.757], [0.250, 0.084, 0.640], [0.250, 0.416, 0.640], [0.250, 0.620, 0.984], [0.250, 0.750, 0.655], [0.250, 0.880, 0.984], [0.750, 0.120, 0.016], [0.750, 0.250, 0.345], [0.750, 0.380, 0.016], [0.750, 0.584, 0.360], [0.750, 0.916, 0.360], [0.250, 0.064, 0.866], [0.250, 0.250, 0.024], [0.250, 0.250, 0.496], [0.250, 0.436, 0.866], [0.250, 0.585, 0.500], [0.250, 0.915, 0.500], [0.750, 0.085, 0.500], [0.750, 0.415, 0.500], [0.750, 0.564, 0.134], [0.750, 0.750, 0.504], [0.750, 0.750, 0.976], [0.750, 0.936, 0.134]],
  "n_ef_per_ev_atom": 2.289,
  "formation_enthalpy_0k_ev_per_atom": -0.53,
  "rho_g_cm3": 13.97,
  "total_magnetization_mub_per_atom": 0.86
}

Entry 15:
{
  "formula": "Pa2CrRhS5",
  "functional": "PBE-GGA",
  "state": "optimized geometry",
  "lattice_angstrom": [[1.872, -7.663, 0.000], [1.872, 7.663, 0.000], [0.000, 0.000, 11.580]],
  "species": ["Pa", "Pa", "Pa", "Pa", "Cr", "Cr", "Rh", "Rh", "S", "S", "S", "S", "S", "S", "S", "S", "S", "S"],
  "fractional_positions": [[0.107, 0.893, 0.500], [0.128, 0.872, 0.847], [0.872, 0.128, 0.347], [0.893, 0.107, 0.000], [0.166, 0.834, 0.201], [0.834, 0.166, 0.701], [0.428, 0.572, 0.579], [0.572, 0.428, 0.079], [0.011, 0.989, 0.179], [0.294, 0.706, 0.489], [0.313, 0.687, 0.827], [0.330, 0.670, 0.168], [0.497, 0.503, 0.403], [0.503, 0.497, 0.903], [0.670, 0.330, 0.668], [0.687, 0.313, 0.327], [0.706, 0.294, 0.989], [0.989, 0.011, 0.679]],
  "e_form_raw_ev_per_fu": -10.41,
  "n_ef_per_ev_atom": 0.885,
  "rho_g_cm3": 7.77,
  "total_magnetization_mub_per_atom": 0.44
}

Entry 16:
{
  "formula": "Sr3Al",
  "functional": "PBE-GGA",
  "state": "optimized geometry",
  "lattice_angstrom": [[2.071, 1.196, 12.044], [-2.071, 1.196, 12.044], [0.000, -2.391, 12.044]],
  "species": ["Sr", "Sr", "Sr", "Al"],
  "fractional_positions": [[0.000, 0.000, 0.000], [0.232, 0.232, 0.232], [0.768, 0.768, 0.768], [0.500, 0.500, 0.500]],
  "n_ef_per_ev_atom": 1.032,
  "formation_enthalpy_0k_ev_per_atom": 0.07,
  "rho_g_cm3": 2.69,
  "total_magnetization_mub_per_atom": 0.00
}

Entry 17:
{
  "formula": "CsUCuO4",
  "functional": "PBE-GGA",
  "state": "optimized geometry",
  "lattice_angstrom": [[-3.268, 3.479, 5.811], [3.268, -3.479, 5.811], [3.268, 3.479, -5.811]],
  "species": ["Cs", "Cs", "U", "U", "Cu", "Cu", "O", "O", "O", "O", "O", "O", "O", "O"],
  "fractional_positions": [[0.425, 0.175, 0.250], [0.575, 0.825, 0.750], [0.000, 0.500, 0.500], [0.500, 0.500, 0.000], [0.000, 0.000, 0.500], [0.000, 0.500, 0.000], [0.111, 0.671, 0.440], [0.266, 0.323, 0.557], [0.266, 0.709, 0.943], [0.269, 0.329, 0.940], [0.731, 0.671, 0.060], [0.734, 0.291, 0.057], [0.734, 0.677, 0.443], [0.889, 0.329, 0.560]],
  "e_form_raw_ev_per_fu": -14.38,
  "rho_g_cm3": 6.26,
  "total_magnetization_mub_per_atom": 0.01
}

Entry 18:
{
  "formula": "CeYCdSi",
  "functional": "PBE-GGA",
  "state": "optimized geometry",
  "lattice_angstrom": [[0.000, 3.656, 3.656], [3.656, 0.000, 3.656], [3.656, 3.656, 0.000]],
  "species": ["Ce", "Y", "Cd", "Si"],
  "fractional_positions": [[0.000, 0.000, 0.000], [0.500, 0.500, 0.500], [0.750, 0.750, 0.750], [0.250, 0.250, 0.250]],
  "e_form_raw_ev_per_fu": -1.38,
  "n_ef_per_ev_atom": 1.831,
  "rho_g_cm3": 6.28,
  "total_magnetization_mub_per_atom": 0.24
}

Entry 19:
{
  "formula": "NdScBi2",
  "functional": "PBE-GGA",
  "state": "optimized geometry",
  "lattice_angstrom": [[2.207, 1.274, 7.557], [-2.207, 1.274, 7.557], [0.000, -2.549, 7.557]],
  "species": ["Nd", "Sc", "Bi", "Bi"],
  "fractional_positions": [[0.000, 0.000, 0.000], [0.830, 0.830, 0.830], [0.420, 0.420, 0.420], [0.576, 0.576, 0.576]],
  "n_ef_per_ev_atom": 0.142,
  "formation_enthalpy_0k_ev_per_atom": -0.68,
  "rho_g_cm3": 7.90,
  "polymorph_energy_mev_per_atom": 109,
  "total_magnetization_mub_per_atom": 0.00
}

Entry 20:
{
  "formula": "LiEuSiAu",
  "functional": "PBE-GGA",
  "state": "optimized geometry",
  "lattice_angstrom": [[0.000, 3.359, 3.359], [3.359, 0.000, 3.359], [3.359, 3.359, 0.000]],
  "species": ["Li", "Eu", "Si", "Au"],
  "fractional_positions": [[0.000, 0.000, 0.000], [0.750, 0.750, 0.750], [0.500, 0.500, 0.500], [0.250, 0.250, 0.250]],
  "e_form_raw_ev_per_fu": -1.63,
  "n_ef_per_ev_atom": 2.350,
  "rho_g_cm3": 8.41,
  "total_magnetization_mub_per_atom": 1.75
}

Entry 21:
{
  "formula": "PaGa2SiNi4",
  "functional": "PBE-GGA",
  "state": "optimized geometry",
  "lattice_angstrom": [[2.019, 1.166, 8.077], [-2.019, 1.166, 8.077], [0.000, -2.332, 8.077]],
  "species": ["Pa", "Ga", "Ga", "Si", "Ni", "Ni", "Ni", "Ni"],
  "fractional_positions": [[0.000, 0.000, 0.000], [0.245, 0.245, 0.245], [0.755, 0.755, 0.755], [0.500, 0.500, 0.500], [0.137, 0.137, 0.137], [0.403, 0.403, 0.403], [0.597, 0.597, 0.597], [0.863, 0.863, 0.863]],
  "e_form_raw_ev_per_fu": -3.57,
  "n_ef_per_ev_atom": 0.734,
  "rho_g_cm3": 9.22,
  "total_magnetization_mub_per_atom": 0.00
}

Entry 22:
{
  "formula": "K2YMo",
  "functional": "PBE-GGA",
  "state": "optimized geometry",
  "lattice_angstrom": [[3.696, 0.000, 0.000], [0.000, 5.247, 0.000], [0.000, 0.000, 6.647]],
  "species": ["K", "K", "Y", "Mo"],
  "fractional_positions": [[0.000, 0.000, 0.000], [0.500, 0.500, 0.000], [0.000, 0.500, 0.500], [0.500, 0.000, 0.500]],
  "n_ef_per_ev_atom": 0.848,
  "formation_enthalpy_0k_ev_per_atom": 1.13,
  "rho_g_cm3": 3.39,
  "polymorph_energy_mev_per_atom": 352,
  "total_magnetization_mub_per_atom": 0.65
}

Entry 23:
{
  "formula": "Zr3CdN",
  "functional": "PBE-GGA",
  "state": "optimized geometry",
  "lattice_angstrom": [[4.322, 0.000, 0.000], [0.000, 4.322, 0.000], [0.000, 0.000, 7.634]],
  "species": ["Zr", "Zr", "Zr", "Cd", "N"],
  "fractional_positions": [[0.000, 0.000, 0.000], [0.000, 0.500, 0.706], [0.500, 0.000, 0.706], [0.000, 0.000, 0.398], [0.500, 0.500, 0.671]],
  "e_form_raw_ev_per_fu": 1.05,
  "n_ef_per_ev_atom": 1.285,
  "rho_g_cm3": 4.66,
  "total_magnetization_mub_per_atom": 0.14
}